Entry 1:
Entry from the Alexandria database: a PBEsol-optimized structure of Ca2TlBr (meta-GGA SCAN).

a = 3.8480 Å, b = 3.6958 Å, c = 8.4361 Å
α = 90.00°, β = 90.16°, γ = 90.00°
With the nearest neighbours (Å) after each atom.
Space group P2/m (No. 10)
Asymmetric unit:
Ca 0.0015 0.0000 0.2244 (multiplicity 2)  2 Br 2.97, 4 Tl 3.27
Tl 0.5000 0.5000 0.0000 (multiplicity 1)  8 Ca 3.27
Br 0.0000 0.5000 0.5000 (multiplicity 1)  4 Ca 2.97

Computed properties:
raw formation energy	-4.45	eV/f.u.
ΔE to the lowest computed polymorph	0.0	meV/atom

Entry 2:
Entry from the Alexandria database: a PBEsol-optimized structure of MgZrCoTe2 (meta-GGA SCAN).

a = 4.9864 Å, b = 4.9864 Å, c = 4.3759 Å
α = 90.00°, β = 90.00°, γ = 90.00°
With the nearest neighbours (Å) after each atom.
Space group P4/mmm (No. 123)
Asymmetric unit:
Mg 0.0000 0.0000 0.0000 (multiplicity 1)  2 Co 2.19
Zr 0.5000 0.5000 0.0000 (multiplicity 1)  8 Te 3.32, 4 Mg 3.53
Co 0.0000 0.0000 0.5000 (multiplicity 1)  2 Mg 2.19
Te 0.0000 0.5000 0.5000 (multiplicity 2)  2 Co 2.49

Computed properties:
raw formation energy	1.07	eV/f.u.

Entry 3:
Entry from the Alexandria database: a PBEsol-optimized structure of FeTc2Hg (meta-GGA SCAN).

a = 2.7379 Å, b = 2.7379 Å, c = 7.6546 Å
α = 90.00°, β = 90.00°, γ = 90.00°
With the nearest neighbours (Å) after each atom.
Space group P4/mmm (No. 123)
Asymmetric unit:
Fe 0.0000 0.0000 0.0000 (multiplicity 1)  8 Tc 2.52, 4 Fe 2.74
Tc 0.5000 0.5000 0.2110 (multiplicity 2)  4 Fe 2.52, 4 Tc 2.74
Hg 0.0000 0.0000 0.5000 (multiplicity 1)  4 Hg 2.74, 8 Tc 2.94

Computed properties:
VASP energy	-38.726	eV per atom

Entry 4:
Entry from the Alexandria database: a PBEsol-optimized structure of BaY2As (meta-GGA SCAN).

a = 3.7421 Å, b = 5.8826 Å, c = 11.4818 Å
α = 90.00°, β = 90.00°, γ = 90.00°
With the nearest neighbours (Å) after each atom.
Space group Immm (No. 71)
Asymmetric unit:
Ba 0.0000 0.0000 0.0000 (multiplicity 2)  4 As 3.49, 4 Y 3.64, 2 Ba 3.74
Y 0.0000 0.5000 0.1861 (multiplicity 4)  2 As 2.84
As 0.0000 0.0000 0.5000 (multiplicity 2)  4 Y 2.84

Computed properties:
VASP energy	-29.476	eV per atom

Entry 5:
Entry from the Alexandria database: a PBEsol-optimized structure of RuWS2 (meta-GGA SCAN).

a = 5.9151 Å, b = 5.9151 Å, c = 5.9151 Å
α = 90.00°, β = 90.00°, γ = 90.00°
With the nearest neighbours (Å) after each atom.
Space group Fm-3m (No. 225)
Asymmetric unit:
Ru 0.0000 0.0000 0.0000 (multiplicity 4)  8 S 2.56
W 0.0000 0.0000 0.5000 (multiplicity 4)  8 S 2.56
S 0.2500 0.2500 0.2500 (multiplicity 8)  4 W 2.56, 4 Ru 2.56

Computed properties:
raw formation energy	0.88	eV/f.u.
ΔE to the lowest computed polymorph	0.0	meV/atom

Entry 6:
Entry from the Alexandria database: a PBEsol-optimized structure of UCu2Si2 (meta-GGA SCAN).

a = 3.8887 Å, b = 3.8887 Å, c = 9.9514 Å
α = 90.00°, β = 90.00°, γ = 90.00°
With the nearest neighbours (Å) after each atom.
Space group I4/mmm (No. 139)
Asymmetric unit:
U 0.0000 0.0000 0.0000 (multiplicity 2)  8 Si 2.99, 8 Cu 3.16
Cu 0.0000 0.5000 0.2500 (multiplicity 4)  4 Si 2.35
Si 0.0000 0.0000 0.3833 (multiplicity 4)  1 Si 2.32, 4 Cu 2.35

Computed properties:
raw formation energy	-1.17	eV/f.u.

| no. | N(E_F) (states/eV per cell) | size of the total moment (μB/cell) |
| --- | --- | --- |
| 1 | 1.272 | 0.0 |
| 2 | 3.343 | 0.9 |
| 3 | 2.475 | 1.4 |
| 4 | 9.709 | 0.0 |
| 5 | 9.942 | 0.0 |
| 6 | 12.861 | 5.1 |